This record from Alexandria via LeMat-Bulk describes crystalline NpIn2Se4 at its relaxed geometry. The functional is GGA-PBE.

Unit cell a=6.570 b=6.570 c=6.570 alpha=106.59 beta=106.59 gamma=115.41
Each line ends with the local moment (μB).
Fractional coordinates of all 7 atoms:
Se (0.178, 0.691, 0.869)  -0.01
Se (0.822, 0.309, 0.131)  -0.01
Se (0.309, 0.178, 0.487)  -0.01
Se (0.691, 0.822, 0.513)  -0.01
Np (0.500, 0.500, 0.000)  4.29
In (0.250, 0.750, 0.500)  0.05
In (0.750, 0.250, 0.500)  0.05

Calculated values
space-group type: I4/m (87)
E_tot: -0.186 Ha/atom
ρ: 6.00 g/cm3



This record from Alexandria via LeMat-Bulk describes crystalline Np3In2Se6 at its relaxed geometry. The functional is GGA-PBE.

Unit cell a=7.195 b=7.194 c=8.077 alpha=81.47 beta=72.74 gamma=60.00
Each line ends with the local moment (μB).
Fractional coordinates of all 11 atoms:
Se (0.598, 0.335, 0.205)  -0.10
Se (0.737, 0.000, 0.795)  -0.10
Se (0.934, 0.665, 0.205)  -0.10
Se (0.066, 0.335, 0.795)  -0.10
Se (0.263, 0.000, 0.205)  -0.10
Se (0.402, 0.665, 0.795)  -0.10
Np (0.000, 0.000, 0.000)  3.74
Np (0.334, 0.332, 0.000)  3.75
Np (0.666, 0.668, 0.000)  3.75
In (0.833, 0.333, 0.500)  -0.01
In (0.167, 0.667, 0.500)  -0.01

Calculated values
space-group type: C2/m (12)
E_tot: -0.251 Ha/atom
ρ: 6.79 g/cm3



This record from Alexandria via LeMat-Bulk describes crystalline Np2In2Se7 at its relaxed geometry. The functional is GGA-PBE.

Unit cell a=8.313 b=7.274 c=7.274 alpha=119.28 beta=100.18 gamma=100.18
Each line ends with the local moment (μB).
Fractional coordinates of all 11 atoms:
Se (0.796, 0.299, 0.299)  -0.12
Se (0.202, 0.448, 0.081)  -0.11
Se (0.798, 0.552, 0.919)  -0.11
Se (0.500, 0.000, 0.000)  0.01
Se (0.202, 0.081, 0.448)  -0.11
Se (0.204, 0.701, 0.701)  -0.12
Se (0.798, 0.919, 0.552)  -0.11
Np (0.000, 0.331, 0.669)  3.35
Np (0.000, 0.669, 0.331)  3.35
In (0.377, 0.306, 0.306)  0.01
In (0.623, 0.694, 0.694)  0.01

Calculated values
space-group type: C2/m (12)
E_tot: -0.210 Ha/atom
ρ: 5.80 g/cm3



This record from Alexandria via LeMat-Bulk describes crystalline Sm2NpIn3Se6 at its relaxed geometry. The functional is GGA-PBE.

Unit cell a=7.321 b=7.321 c=8.096 alpha=98.67 beta=98.67 gamma=120.00
Each line ends with the local moment (μB).
Fractional coordinates of all 12 atoms:
In (0.167, 0.833, 0.500)  0.00
In (0.500, 0.500, 0.500)  0.00
In (0.833, 0.167, 0.500)  0.00
Sm (0.667, 0.333, 0.000)  0.03
Sm (0.333, 0.667, 0.000)  0.03
Se (0.599, 0.929, 0.788)  -0.02
Se (0.929, 0.599, 0.788)  -0.02
Se (0.260, 0.260, 0.787)  -0.03
Se (0.401, 0.071, 0.212)  -0.02
Se (0.071, 0.401, 0.212)  -0.02
Se (0.740, 0.740, 0.213)  -0.03
Np (0.000, 0.000, 0.000)  3.85

Calculated values
space-group type: C2/m (12)
E_tot: -0.199 Ha/atom
ρ: 6.28 g/cm3



This record from Alexandria via LeMat-Bulk describes crystalline SrNpIn2Se4 at its relaxed geometry. The functional is GGA-PBE.

Unit cell a=4.301 b=7.961 c=7.489 alpha=71.98 beta=90.00 gamma=90.00
Each line ends with the local moment (μB).
Fractional coordinates of all 8 atoms:
Se (0.000, 0.279, 0.269)  -0.08
Se (0.000, 0.721, 0.731)  -0.08
Se (0.500, 0.713, 0.286)  -0.08
Se (0.500, 0.287, 0.714)  -0.08
Sr (0.500, 0.500, 0.000)  -0.01
Np (0.000, 0.500, 0.500)  3.48
In (0.000, 0.000, 0.000)  -0.02
In (0.500, 0.000, 0.500)  -0.04

Calculated values
space-group type: P2/m (10)
E_tot: -0.193 Ha/atom
ρ: 5.93 g/cm3



This record from Alexandria via LeMat-Bulk describes crystalline Tb2NpIn3Se6 at its relaxed geometry. The functional is GGA-PBE.

Unit cell a=7.242 b=7.242 c=8.096 alpha=98.58 beta=98.58 gamma=119.99
Each line ends with the local moment (μB).
Fractional coordinates of all 12 atoms:
Se (0.930, 0.595, 0.790)  -0.02
Se (0.595, 0.930, 0.790)  -0.02
Se (0.405, 0.070, 0.210)  -0.02
Se (0.266, 0.266, 0.791)  -0.03
Se (0.070, 0.405, 0.210)  -0.02
Se (0.734, 0.734, 0.209)  -0.03
In (0.167, 0.833, 0.500)  0.00
In (0.500, 0.500, 0.500)  0.00
In (0.833, 0.167, 0.500)  0.00
Tb (0.667, 0.333, 0.000)  0.04
Tb (0.333, 0.667, 0.000)  0.04
Np (0.000, 0.000, 0.000)  3.85

Calculated values
space-group type: C2/m (12)
E_tot: -0.199 Ha/atom
ρ: 6.50 g/cm3



This record from Alexandria via LeMat-Bulk describes crystalline Np3Tl3InSe8 at its relaxed geometry. The functional is GGA-PBE.

Unit cell a=8.400 b=8.400 c=9.147 alpha=117.12 beta=89.86 gamma=120.42
Each line ends with the local moment (μB).
Fractional coordinates of all 15 atoms:
Se (0.264, 0.032, 0.300)  0.00
Se (0.265, 0.530, 0.295)  0.03
Se (0.233, 0.966, 0.699)  0.08
Se (0.768, 0.536, 0.300)  0.00
Se (0.735, 0.470, 0.705)  0.03
Se (0.232, 0.464, 0.700)  0.00
Se (0.736, 0.968, 0.700)  0.00
Se (0.767, 0.034, 0.301)  0.08
Np (0.500, 0.000, 0.500)  -3.69
Np (0.000, 0.500, 0.500)  -3.69
Np (0.500, 0.500, 0.500)  3.62
Tl (0.500, 0.500, 0.000)  0.01
Tl (0.000, 0.000, 0.000)  0.01
Tl (0.000, 0.500, 0.000)  -0.01
In (0.000, 0.000, 0.500)  -0.03

Calculated values
space-group type: C2/m (12)
E_tot: -0.217 Ha/atom
ρ: 7.27 g/cm3



This record from Alexandria via LeMat-Bulk describes crystalline Np3Tl4InSe8 at its relaxed geometry. The functional is GGA-PBE.

Unit cell a=8.503 b=9.102 c=8.506 alpha=117.88 beta=119.99 gamma=90.00
Each line ends with the local moment (μB).
Fractional coordinates of all 16 atoms:
Se (0.237, 0.701, 0.473)  -0.07
Se (0.272, 0.299, 0.035)  -0.07
Se (0.734, 0.702, 0.468)  -0.09
Se (0.266, 0.298, 0.532)  -0.09
Se (0.237, 0.701, 0.965)  -0.07
Se (0.728, 0.701, 0.965)  -0.07
Se (0.763, 0.299, 0.035)  -0.07
Se (0.763, 0.299, 0.527)  -0.07
Np (0.500, 0.500, 0.500)  3.79
Np (0.500, 0.500, 0.000)  3.79
Np (0.000, 0.500, 0.500)  3.79
Tl (0.000, 0.000, 0.000)  -0.01
Tl (0.500, 0.000, 0.500)  -0.01
Tl (0.000, 0.000, 0.500)  -0.01
Tl (0.500, 0.000, 0.000)  0.01
In (0.000, 0.500, 0.000)  0.08

Calculated values
space-group type: R-3m (166)
E_tot: -0.210 Ha/atom
ρ: 7.87 g/cm3